[1]
# KHoTlHg, relaxed, DFT PBE
# Volume, Å³/f.u.: 118.2
# Total moment, μB/cell: 0.0
# Crystal system: cubic
# Density, g/cm3: 8.6
# Formation enthalpy at 0 K, eV per atom: -0.094
data_KHoTlHg
_chemical_formula_sum 'K4 Ho4 Tl4 Hg4'
_cell_length_a 7.791
_cell_length_b 7.791
_cell_length_c 7.791
_cell_angle_alpha 90.00
_cell_angle_beta 90.00
_cell_angle_gamma 90.00
_symmetry_space_group_name_H-M 'F -4 3 m'
_symmetry_Int_Tables_number 216
_symmetry_space_group_name_Hall 'F -4 2 3'
loop_
_atom_site_label
_atom_site_fract_x
_atom_site_fract_y
_atom_site_fract_z
_atom_site_occupancy
K1 0.000 0.000 0.000 1
Ho1 0.000 0.000 0.500 1
Tl1 0.250 0.250 0.250 1
Hg1 0.250 0.250 0.750 1



[2]
# LaHo4Hg4, relaxed, DFT PBE
# Volume, Å³/f.u.: 255.8
# Total moment, μB/cell: 0.0
# Crystal system: tetragonal
# Density, g/cm3: 10.4
# Formation enthalpy at 0 K, eV per atom: -0.258
data_LaHo4Hg4
_chemical_formula_sum 'La2 Ho8 Hg8'
_cell_length_a 9.674
_cell_length_b 9.674
_cell_length_c 5.467
_cell_angle_alpha 90.00
_cell_angle_beta 90.00
_cell_angle_gamma 90.00
_symmetry_space_group_name_H-M 'P 42/n'
_symmetry_Int_Tables_number 86
loop_
_symmetry_equiv_pos_as_xyz
'x,y,z'
'-x,-y,-z'
'-y,x+1/2,z+1/2'
'y,-x+1/2,-z+1/2'
'-x+1/2,-y+1/2,z'
'x+1/2,y+1/2,-z'
'y+1/2,-x,z+1/2'
'-y+1/2,x,-z+1/2'
loop_
_atom_site_label
_atom_site_fract_x
_atom_site_fract_y
_atom_site_fract_z
_atom_site_occupancy
La1 0.250 0.250 0.250 1
Ho1 0.104 0.840 0.680 1
Hg1 0.040 0.144 0.820 1



[3]
# LaHo8Hg2, relaxed, DFT PBE
# Volume, Å³/f.u.: 339.4
# Total moment, μB/cell: 0.0
# Crystal system: monoclinic
# Density, g/cm3: 9.1
# Formation enthalpy at 0 K, eV per atom: -0.042
data_LaHo8Hg2
_chemical_formula_sum 'La2 Ho16 Hg4'
_cell_length_a 8.783
_cell_length_b 14.780
_cell_length_c 5.571
_cell_angle_alpha 90.00
_cell_angle_beta 110.20
_cell_angle_gamma 90.00
_symmetry_space_group_name_H-M 'C 1 2/m 1'
_symmetry_Int_Tables_number 12
loop_
_symmetry_equiv_pos_as_xyz
'x,y,z'
'-x,-y,-z'
'-x,y,-z'
'x,-y,z'
'x+1/2,y+1/2,z'
'-x+1/2,-y+1/2,-z'
'-x+1/2,y+1/2,-z'
'x+1/2,-y+1/2,z'
loop_
_atom_site_label
_atom_site_fract_x
_atom_site_fract_y
_atom_site_fract_z
_atom_site_occupancy
La1 0.000 0.000 0.000 1
Ho1 0.000 0.230 0.000 1
Ho2 0.095 0.500 0.796 1
Ho3 0.206 0.115 0.608 1
Hg1 0.000 0.307 0.500 1



[4]
# LaHoHg, relaxed, DFT PBE
# Volume, Å³/f.u.: 91.8
# Total moment, μB/cell: 0.0
# Crystal system: orthorhombic
# Density, g/cm3: 9.1
# Formation enthalpy at 0 K, eV per atom: -0.334
data_LaHoHg
_chemical_formula_sum 'La4 Ho4 Hg4'
_cell_length_a 8.405
_cell_length_b 4.953
_cell_length_c 8.825
_cell_angle_alpha 90.00
_cell_angle_beta 90.00
_cell_angle_gamma 90.00
_symmetry_space_group_name_H-M 'P n m a'
_symmetry_Int_Tables_number 62
loop_
_symmetry_equiv_pos_as_xyz
'x,y,z'
'-x,-y,-z'
'-x+1/2,-y,z+1/2'
'x+1/2,y,-z+1/2'
'x+1/2,-y+1/2,-z+1/2'
'-x+1/2,y+1/2,z+1/2'
'-x,y+1/2,-z'
'x,-y+1/2,z'
loop_
_atom_site_label
_atom_site_fract_x
_atom_site_fract_y
_atom_site_fract_z
_atom_site_occupancy
La1 0.027 0.250 0.162 1
Ho1 0.142 0.250 0.575 1
Hg1 0.218 0.750 0.385 1



[5]
# LaHoHg, relaxed, DFT PBE
# Volume, Å³/f.u.: 90.6
# Total moment, μB/cell: 0.0
# Crystal system: monoclinic
# Density, g/cm3: 9.2
# Formation enthalpy at 0 K, eV per atom: -0.336
data_LaHoHg
_chemical_formula_sum 'La4 Ho4 Hg4'
_cell_length_a 17.180
_cell_length_b 3.807
_cell_length_c 5.540
_cell_angle_alpha 90.00
_cell_angle_beta 90.28
_cell_angle_gamma 90.00
_symmetry_space_group_name_H-M 'C 1 2/m 1'
_symmetry_Int_Tables_number 12
loop_
_symmetry_equiv_pos_as_xyz
'x,y,z'
'-x,-y,-z'
'-x,y,-z'
'x,-y,z'
'x+1/2,y+1/2,z'
'-x+1/2,-y+1/2,-z'
'-x+1/2,y+1/2,-z'
'x+1/2,-y+1/2,z'
loop_
_atom_site_label
_atom_site_fract_x
_atom_site_fract_y
_atom_site_fract_z
_atom_site_occupancy
La1 0.079 0.000 0.244 1
Ho1 0.231 0.000 0.749 1
Hg1 0.090 0.500 0.743 1



[6]
# LaHo5Hg6, relaxed, DFT PBE
# Volume, Å³/f.u.: 314.6
# Total moment, μB/cell: 0.6
# Crystal system: monoclinic
# Density, g/cm3: 11.4
# Formation enthalpy at 0 K, eV per atom: -0.474
data_LaHo5Hg6
_chemical_formula_sum 'La1 Ho5 Hg6'
_cell_length_a 5.256
_cell_length_b 7.521
_cell_length_c 8.379
_cell_angle_alpha 90.00
_cell_angle_beta 108.22
_cell_angle_gamma 90.00
_symmetry_space_group_name_H-M 'P 1 2/m 1'
_symmetry_Int_Tables_number 10
loop_
_symmetry_equiv_pos_as_xyz
'x,y,z'
'-x,-y,-z'
'-x,y,-z'
'x,-y,z'
loop_
_atom_site_label
_atom_site_fract_x
_atom_site_fract_y
_atom_site_fract_z
_atom_site_occupancy
La1 0.000 0.000 0.000 1
Ho1 0.000 0.500 0.000 1
Ho2 0.331 0.000 0.661 1
Ho3 0.338 0.500 0.674 1
Hg1 0.172 0.260 0.345 1
Hg2 0.500 0.260 0.000 1



[7]
# LaHo3Hg, relaxed, DFT PBE
# Volume, Å³/f.u.: 165.0
# Total moment, μB/cell: 0.0
# Crystal system: monoclinic
# Density, g/cm3: 8.4
# Formation enthalpy at 0 K, eV per atom: -0.036
data_LaHo3Hg
_chemical_formula_sum 'La4 Ho12 Hg4'
_cell_length_a 11.732
_cell_length_b 8.334
_cell_length_c 7.842
_cell_angle_alpha 90.00
_cell_angle_beta 120.59
_cell_angle_gamma 90.00
_symmetry_space_group_name_H-M 'C 1 2/m 1'
_symmetry_Int_Tables_number 12
loop_
_symmetry_equiv_pos_as_xyz
'x,y,z'
'-x,-y,-z'
'-x,y,-z'
'x,-y,z'
'x+1/2,y+1/2,z'
'-x+1/2,-y+1/2,-z'
'-x+1/2,y+1/2,-z'
'x+1/2,-y+1/2,z'
loop_
_atom_site_label
_atom_site_fract_x
_atom_site_fract_y
_atom_site_fract_z
_atom_site_occupancy
La1 0.057 0.000 0.303 1
Ho1 0.079 0.500 0.268 1
Ho2 0.171 0.293 0.686 1
Hg1 0.228 0.500 0.044 1



[8]
# LaHo2Hg2, relaxed, DFT PBE
# Volume, Å³/f.u.: 154.0
# Total moment, μB/cell: 0.0
# Crystal system: trigonal
# Density, g/cm3: 9.4
# Formation enthalpy at 0 K, eV per atom: -0.225
data_LaHo2Hg2
_chemical_formula_sum 'La1 Ho2 Hg2'
_cell_length_a 5.2729
_cell_length_b 5.2729
_cell_length_c 6.3942
_cell_angle_alpha 90.00
_cell_angle_beta 90.00
_cell_angle_gamma 120.00
_symmetry_space_group_name_H-M 'P -3 m 1'
_symmetry_Int_Tables_number 164
_symmetry_space_group_name_Hall '-P 3 2"'
loop_
_atom_site_label
_atom_site_fract_x
_atom_site_fract_y
_atom_site_fract_z
_atom_site_occupancy
La1 0.0000 0.0000 0.0000 1
Ho1 0.3333 0.6667 0.6582 1
Hg1 0.3333 0.6667 0.1876 1



[9]
# LaHo2Hg4, relaxed, DFT PBE
# Volume, Å³/f.u.: 201.9
# Total moment, μB/cell: 0.2
# Crystal system: tetragonal
# Density, g/cm3: 10.5
# Formation enthalpy at 0 K, eV per atom: -0.309
data_LaHo2Hg4
_chemical_formula_sum 'La1 Ho2 Hg4'
_cell_length_a 5.264
_cell_length_b 5.264
_cell_length_c 7.286
_cell_angle_alpha 90.00
_cell_angle_beta 90.00
_cell_angle_gamma 90.00
_symmetry_space_group_name_H-M 'P 4/m m m'
_symmetry_Int_Tables_number 123
_symmetry_space_group_name_Hall '-P 4 2'
loop_
_atom_site_label
_atom_site_fract_x
_atom_site_fract_y
_atom_site_fract_z
_atom_site_occupancy
La1 0.000 0.000 0.000 1
Ho1 0.000 0.000 0.500 1
Ho2 0.500 0.500 0.000 1
Hg1 0.000 0.500 0.273 1



[10]
# La2HoHg5, relaxed, DFT PBE
# Volume, Å³/f.u.: 213.0
# Total moment, μB/cell: 0.5
# Crystal system: tetragonal
# Density, g/cm3: 11.3
# Formation enthalpy at 0 K, eV per atom: -0.426
data_La2HoHg5
_chemical_formula_sum 'La4 Ho2 Hg10'
_cell_length_a 5.258
_cell_length_b 5.258
_cell_length_c 15.411
_cell_angle_alpha 90.00
_cell_angle_beta 90.00
_cell_angle_gamma 90.00
_symmetry_space_group_name_H-M 'I 4/m m m'
_symmetry_Int_Tables_number 139
_symmetry_space_group_name_Hall '-I 4 2'
loop_
_atom_site_label
_atom_site_fract_x
_atom_site_fract_y
_atom_site_fract_z
_atom_site_occupancy
La1 0.000 0.000 0.236 1
Ho1 0.000 0.000 0.500 1
Hg1 0.000 0.000 0.000 1
Hg2 0.000 0.500 0.114 1



[11]
# LaHo5Hg3, relaxed, DFT PBE
# Volume, Å³/f.u.: 249.9
# Total moment, μB/cell: 0.0
# Crystal system: hexagonal
# Density, g/cm3: 10.4
# Formation enthalpy at 0 K, eV per atom: -0.286
data_LaHo5Hg3
_chemical_formula_sum 'La2 Ho10 Hg6'
_cell_length_a 9.1094
_cell_length_b 9.1094
_cell_length_c 6.9559
_cell_angle_alpha 90.00
_cell_angle_beta 90.00
_cell_angle_gamma 120.00
_symmetry_space_group_name_H-M 'P 63/m c m'
_symmetry_Int_Tables_number 193
_symmetry_space_group_name_Hall '-P 6c 2'
loop_
_atom_site_label
_atom_site_fract_x
_atom_site_fract_y
_atom_site_fract_z
_atom_site_occupancy
La1 0.0000 0.0000 0.0000 1
Ho1 0.0000 0.3323 0.2500 1
Ho2 0.3333 0.6667 0.0000 1
Hg1 0.0000 0.3416 0.7500 1



[12]
# LaHoHg6, relaxed, DFT PBE
# Volume, Å³/f.u.: 202.0
# Total moment, μB/cell: 0.0
# Crystal system: orthorhombic
# Density, g/cm3: 12.4
# Formation enthalpy at 0 K, eV per atom: -0.371
data_LaHoHg6
_chemical_formula_sum 'La2 Ho2 Hg12'
_cell_length_a 5.052
_cell_length_b 6.821
_cell_length_c 11.724
_cell_angle_alpha 90.00
_cell_angle_beta 90.00
_cell_angle_gamma 90.00
_symmetry_space_group_name_H-M 'A m m 2'
_symmetry_Int_Tables_number 38
loop_
_symmetry_equiv_pos_as_xyz
'x,y,z'
'-x,-y,z'
'-x,y,z'
'x,-y,z'
'x,y+1/2,z+1/2'
'-x,-y+1/2,z+1/2'
'-x,y+1/2,z+1/2'
'x,-y+1/2,z+1/2'
loop_
_atom_site_label
_atom_site_fract_x
_atom_site_fract_y
_atom_site_fract_z
_atom_site_occupancy
La1 0.000 0.000 0.000 1
Ho1 0.500 0.000 0.677 1
Hg1 0.000 0.000 0.511 1
Hg2 0.000 0.248 0.252 1
Hg3 0.500 0.000 0.174 1
Hg4 0.500 0.235 0.419 1